# TcPRh2 PBE-GGA relaxed
# **Density**: 9.74 g/cm3
# **Calculated volume**: 14.28 Å³/atom
# **Total moment**: 0.00 μB per formula unit
# **Energy of formation from the pure elements**: 0.1260 eV per atom
# **Electronic total energy**: -7.49 eV/atom
data_TcPRh2
_chemical_formula_sum 'Tc2 P2 Rh4'
_cell_length_a 2.8788
_cell_length_b 4.7887
_cell_length_c 8.2848
_cell_angle_alpha 90.00
_cell_angle_beta 90.00
_cell_angle_gamma 90.00
_space_group_name_H-M_alt 'C m m 2'
_space_group_IT_number 35
loop_
_space_group_symop_operation_xyz
'x,y,z'
'-x,-y,z'
'-x,y,z'
'x,-y,z'
'x+1/2,y+1/2,z'
'-x+1/2,-y+1/2,z'
'-x+1/2,y+1/2,z'
'x+1/2,-y+1/2,z'
loop_
_atom_site_label
_atom_site_type_symbol
_atom_site_fract_x
_atom_site_fract_y
_atom_site_fract_z
Tc1 Tc 0.0000 0.0000 0.0000
P1 P 0.0000 0.5000 0.2230
Rh1 Rh 0.0000 0.0000 0.4405
Rh2 Rh 0.0000 0.5000 0.7278